[1]
A plane-wave DFT calculation with PBE-GGA was carried out for an optimized crystal structure of BaIn4Mo.

Calculated values
* total magnetic moment: 0.00 μB/atom
* ΔE_f: 0.365 eV per atom
* energy: -86.08 eV per cell

abc: 8.487 8.487 8.487
angles: 90.00 90.00 90.00
Space group F-43m (No. 216)
Inequivalent atoms, fractional coordinates:
Ba1 0.000 0.000 0.000
In1 0.124 0.124 0.624
Mo1 0.250 0.250 0.250

***

[2]
A plane-wave DFT calculation with PBE-GGA was carried out for an optimized crystal structure of BaInMo2.

Calculated values
* total magnetic moment: 0.00 μB/atom
* ΔE_f: 1.108 eV per atom
* energy: -43.78 eV per cell
* distance to the lowest polymorph of the same formula: 0.754 eV per atom

abc: 2.899 5.733 10.964
angles: 90.00 90.00 90.00
Space group Immm (No. 71)
Inequivalent atoms, fractional coordinates:
Ba1 0.000 0.000 0.000
In1 0.000 0.000 0.500
Mo1 0.000 0.500 0.228

***

[3]
A plane-wave DFT calculation with PBE-GGA was carried out for an optimized crystal structure of BaInMo2.

Calculated values
* total magnetic moment: 0.00 μB/atom
* ΔE_f: 1.126 eV per atom
* energy: -65.45 eV per cell
* distance to the lowest polymorph of the same formula: 0.772 eV per atom

abc: 3.0715 3.0715 32.4312
angles: 90.00 90.00 120.00
Space group R-3m (No. 166, hexagonal axes)
Inequivalent atoms, fractional coordinates:
Ba1 0.0000 0.0000 0.0000
In1 0.0000 0.0000 0.5000
Mo1 0.0000 0.0000 0.2388

***

[4]
A plane-wave DFT calculation with PBE-GGA was carried out for an optimized crystal structure of BaInMo2.

Calculated values
* total magnetic moment: 0.00 μB/atom
* ΔE_f: 0.646 eV per atom
* energy: -23.74 eV per cell
* distance to the lowest polymorph of the same formula: 0.292 eV per atom

abc: 3.743 3.743 7.368
angles: 90.00 90.00 90.00
Space group P4/mmm (No. 123)
Inequivalent atoms, fractional coordinates:
Ba1 0.000 0.000 0.000
In1 0.000 0.000 0.500
Mo1 0.500 0.500 0.348

***

[5]
A plane-wave DFT calculation with PBE-GGA was carried out for an optimized crystal structure of BaInMo2.

Calculated values
* total magnetic moment: 0.00 μB/atom
* ΔE_f: 0.354 eV per atom
* energy: -24.91 eV per cell
* distance to the lowest polymorph of the same formula: 0.000 eV per atom

abc: 3.370 3.358 8.430
angles: 90.00 90.22 90.00
Space group Pm (No. 6)
Inequivalent atoms, fractional coordinates:
Ba1 0.000 0.000 0.000
In1 0.500 0.500 0.672
Mo1 0.500 0.500 0.316
Mo2 0.997 0.000 0.450

***

[6]
A plane-wave DFT calculation with PBE-GGA was carried out for an optimized crystal structure of BaInMo2.

Calculated values
* total magnetic moment: 0.00 μB/atom
* ΔE_f: 1.232 eV per atom
* energy: -21.40 eV per cell
* distance to the lowest polymorph of the same formula: 0.878 eV per atom

abc: 4.820 4.820 3.641
angles: 90.00 90.00 90.00
Space group P4/mmm (No. 123)
Inequivalent atoms, fractional coordinates:
Ba1 0.000 0.000 0.000
In1 0.500 0.500 0.000
Mo1 0.000 0.500 0.500